{
  "formula": "GaSiPt2",
  "functional": "GGA-PBE",
  "state": "optimized geometry",
  "lattice_angstrom": [[1.983, 1.145, 4.798], [-1.983, 1.145, 4.798], [0.000, -2.289, 4.798]],
  "species": ["Ga", "Si", "Pt", "Pt"],
  "fractional_positions": [[0.000, 0.000, 0.000], [0.822, 0.822, 0.822], [0.227, 0.227, 0.227], [0.430, 0.430, 0.430]],
  "magmom_total_mub_per_atom": 0.0000,
  "e_tot_ev_per_atom": -5.66,
  "e_form_raw_mev_per_atom": -524,
  "spacegroup": "R3m, No. 160"
}

{
  "formula": "AlCoBi2Ru",
  "functional": "GGA-PBE",
  "state": "optimized geometry",
  "lattice_angstrom": [[5.323, 0.000, 0.000], [0.000, 5.323, 0.000], [0.000, 0.000, 4.471]],
  "species": ["Al", "Co", "Bi", "Bi", "Ru"],
  "fractional_positions": [[0.000, 0.000, 0.000], [0.500, 0.500, 0.500], [0.000, 0.500, 0.000], [0.500, 0.000, 0.000], [0.000, 0.000, 0.500]],
  "magmom_total_mub_per_atom": 0.3417,
  "formation_enthalpy_0k_mev_per_atom": 1241,
  "e_tot_ev_per_atom": -4.34,
  "spacegroup": "P4/mmm, No. 123"
}

{
  "formula": "Tb4Bi8Rh3",
  "functional": "GGA-PBE",
  "state": "optimized geometry",
  "lattice_angstrom": [[4.608, 0.000, 0.000], [0.000, 4.608, 0.000], [0.000, 0.000, 18.808]],
  "species": ["Tb", "Tb", "Tb", "Tb", "Bi", "Bi", "Bi", "Bi", "Bi", "Bi", "Bi", "Bi", "Rh", "Rh", "Rh"],
  "fractional_positions": [[0.000, 0.500, 0.108], [0.000, 0.500, 0.612], [0.500, 0.000, 0.388], [0.500, 0.000, 0.892], [0.000, 0.000, 0.248], [0.000, 0.000, 0.752], [0.000, 0.500, 0.415], [0.000, 0.500, 0.924], [0.500, 0.000, 0.076], [0.500, 0.000, 0.585], [0.500, 0.500, 0.247], [0.500, 0.500, 0.753], [0.000, 0.000, 0.000], [0.000, 0.000, 0.500], [0.500, 0.500, 0.500]],
  "magmom_total_mub_per_atom": 0.0000,
  "formation_enthalpy_0k_mev_per_atom": -560,
  "e_tot_ev_per_atom": -5.33,
  "spacegroup": "P-4m2, No. 115"
}

Record order is preserved below.
DOS(E_F): 2.4, 5.1, 13.0 states/eV/f.u.